## AcTbSm2Er5 (GGA-PBE)

Data for a geometry-optimized AcTbSm2Er5 structure.

Structure (extended XYZ):
```
18
Lattice="8.8403 0.0000 0.0000 0.0000 8.8403 0.0000 -4.4202 -4.4202 7.6756" Properties=species:S:1:pos:R:3 pbc="T T T"
Ac 0.0000 0.0000 3.8378
Ac 4.4202 4.4202 3.8378
Tb 0.0000 4.4202 3.8378
Tb 4.4202 0.0000 3.8378
Sm 1.0217 3.3985 0.0000
Sm 5.4418 1.0217 0.0000
Sm 3.3985 7.8187 0.0000
Sm 7.8187 5.4418 0.0000
Er 7.0196 2.5995 2.0141
Er 2.5995 -1.8207 5.6616
Er -2.5995 1.8207 5.6616
Er -1.8207 -2.5995 5.6616
Er 1.8207 2.5995 5.6616
Er 6.2409 7.0196 2.0141
Er 2.5995 1.8207 2.0141
Er 1.8207 6.2409 2.0141
Er 4.4202 4.4202 0.0000
Er 0.0000 0.0000 0.0000
```

Computed properties:
D(E_F) = 1.10 states/eV per atom
E_form = 25.38 kJ/mol of atoms
total moment = 0.00 μB/f.u.

***

## AcTb2SmEr4 (GGA-PBE)

Data for a geometry-optimized AcTb2SmEr4 structure.

Structure (extended XYZ):
```
16
Lattice="9.4281 -0.0449 -1.7575 -0.0508 9.4373 -1.7540 -5.9379 -5.9451 8.3889" Properties=species:S:1:pos:R:3 pbc="T T T"
Ac -0.0254 4.7186 -0.8770
Ac 6.4337 1.7012 1.5599
Tb 4.7140 -0.0224 -0.8788
Tb 1.7451 -2.9950 3.3157
Tb -2.9689 -2.9725 4.1945
Tb 4.6886 4.6962 -1.7558
Sm 1.7197 1.7236 2.4387
Sm 3.4902 -5.9900 6.6314
Er 2.3801 7.0932 -1.6932
Er 4.0630 -0.7081 2.3760
Er -0.6236 4.1553 2.5013
Er 1.0595 -3.6459 6.5706
Er 6.9369 7.1166 -2.6151
Er 3.9918 4.1678 1.5423
Er -0.5524 -0.7205 3.3351
Er -3.4975 -3.6693 7.4925
```

Computed properties:
D(E_F) = 2.31 states/eV per atom
E_form = 43.51 kJ/mol of atoms
total moment = 2.00 μB/f.u.

***

## AcTb2SmEr (GGA-PBE)

Data for a geometry-optimized AcTb2SmEr structure.

Structure (extended XYZ):
```
10
Lattice="6.4827 0.0000 0.0000 0.0000 6.4593 0.0000 0.0000 -3.2296 8.7783" Properties=species:S:1:pos:R:3 pbc="T T T"
Ac 1.6207 3.2296 2.7945
Ac 4.8621 0.0000 5.9839
Tb 3.2414 1.6102 0.0000
Tb 0.0000 4.8491 0.0000
Tb 3.2414 4.8491 0.0000
Tb 0.0000 1.6102 0.0000
Sm 1.6207 3.2296 6.0951
Sm 4.8621 0.0000 2.6832
Er 4.8621 3.2296 4.2745
Er 1.6207 0.0000 4.5038
```

Computed properties:
D(E_F) = 1.70 states/eV per atom
E_form = 37.78 kJ/mol of atoms
total moment = 0.00 μB/f.u.

***

Which of these has the lowest D(E_F)? AcTbSm2Er5

***

Please write out number 2 again, unchanged.
## AcTb2SmEr4 (GGA-PBE)

Data for a geometry-optimized AcTb2SmEr4 structure.

Structure (extended XYZ):
```
16
Lattice="9.4281 -0.0449 -1.7575 -0.0508 9.4373 -1.7540 -5.9379 -5.9451 8.3889" Properties=species:S:1:pos:R:3 pbc="T T T"
Ac -0.0254 4.7186 -0.8770
Ac 6.4337 1.7012 1.5599
Tb 4.7140 -0.0224 -0.8788
Tb 1.7451 -2.9950 3.3157
Tb -2.9689 -2.9725 4.1945
Tb 4.6886 4.6962 -1.7558
Sm 1.7197 1.7236 2.4387
Sm 3.4902 -5.9900 6.6314
Er 2.3801 7.0932 -1.6932
Er 4.0630 -0.7081 2.3760
Er -0.6236 4.1553 2.5013
Er 1.0595 -3.6459 6.5706
Er 6.9369 7.1166 -2.6151
Er 3.9918 4.1678 1.5423
Er -0.5524 -0.7205 3.3351
Er -3.4975 -3.6693 7.4925
```

Computed properties:
D(E_F) = 2.31 states/eV per atom
E_form = 43.51 kJ/mol of atoms
total moment = 2.00 μB/f.u.